Below is NpGa3Rh after structural relaxation, with properties calculated at the GGA-PBE level.

a = 8.3349 Å, b = 3.5131 Å, c = 11.7755 Å
α = 90.00°, β = 90.00°, γ = 90.00°
Space group Pnma (No. 62)
Unique sites:
Np  0.0993  0.2500  0.0026
Ga  0.0778  0.2500  0.4252
Ga  0.0933  0.7500  0.2197
Ga  0.1581  0.7500  0.7948
Rh  0.1329  0.2500  0.6386

Crystal system   orthorhombic
Total magnetization   0.000 μB/f.u.
Calculated density   10.58 g/cm³

Below is Np2Ga2Rh3 after structural relaxation, with properties calculated at the GGA-PBE level.

a = 4.3365 Å, b = 4.9911 Å, c = 6.8030 Å
α = 109.73°, β = 108.50°, γ = 90.07°
Space group P-1 (No. 2)
Unique sites:
Np  0.1142  0.0943  0.2275
Ga  0.3784  0.3952  0.7572
Rh  0.0000  0.5000  0.0000
Rh  0.2443  0.7068  0.4884

Crystal system   triclinic
Total magnetization   7.168 μB/f.u.
Calculated density   11.74 g/cm³

Below is NpGaRh2 after structural relaxation, with properties calculated at the GGA-PBE level.

a = 3.0494 Å, b = 3.0494 Å, c = 7.1091 Å
α = 90.00°, β = 90.00°, γ = 90.00°
Space group P4/mmm (No. 123)
Unique sites:
Np  0.0000  0.0000  0.0000
Ga  0.0000  0.0000  0.5000
Rh  0.5000  0.5000  0.2905

Crystal system   tetragonal
Total magnetization   3.704 μB/f.u.
Calculated density   12.87 g/cm³

Below is Np2Ga9Rh after structural relaxation, with properties calculated at the GGA-PBE level.

a = 4.2470 Å, b = 4.2470 Å, c = 12.0357 Å
α = 90.00°, β = 90.00°, γ = 90.00°
Space group P4/mmm (No. 123)
Unique sites:
Np  0.0000  0.0000  0.1832
Ga  0.0000  0.5000  0.0000
Ga  0.0000  0.5000  0.3580
Ga  0.5000  0.5000  0.1687
Ga  0.5000  0.5000  0.5000
Rh  0.0000  0.0000  0.5000

Crystal system   tetragonal
Total magnetization   7.583 μB/f.u.
Calculated density   9.21 g/cm³

Below is Np2Ga12Rh after structural relaxation, with properties calculated at the GGA-PBE level.

a = 6.0183 Å, b = 6.0183 Å, c = 15.6304 Å
α = 90.00°, β = 90.00°, γ = 90.00°
Space group P4/nbm (No. 125, origin choice 2)
Unique sites:
Np  0.2500  0.7500  0.2414
Ga  0.0001  0.9999  0.0892
Ga  0.0801  0.5801  0.4298
Ga  0.2500  0.2500  0.1904
Ga  0.2500  0.2500  0.3443
Rh  0.2500  0.7500  0.0000

Crystal system   tetragonal
Total magnetization   8.142 μB/f.u.
Calculated density   8.29 g/cm³

Below is NpGa2Rh3 after structural relaxation, with properties calculated at the GGA-PBE level.

a = 4.3615 Å, b = 4.3615 Å, c = 5.9527 Å
α = 90.00°, β = 90.00°, γ = 120.00°
Space group P-3m1 (No. 164)
Unique sites:
Np  0.0000  0.0000  0.0000
Ga  0.3333  0.6667  0.6674
Rh  0.0000  0.0000  0.5000
Rh  0.3333  0.6667  0.2338

Crystal system   trigonal
Total magnetization   3.382 μB/f.u.
Calculated density   11.60 g/cm³

Below is Np4Ga12Rh after structural relaxation, with properties calculated at the GGA-PBE level.

a = 8.6080 Å, b = 8.6080 Å, c = 8.6080 Å
α = 90.00°, β = 90.00°, γ = 90.00°
Space group Im-3m (No. 229)
Unique sites:
Np  0.2500  0.2500  0.2500
Ga  0.0000  0.0000  0.2907
Ga  0.0000  0.2500  0.5000
Rh  0.0000  0.0000  0.0000

Crystal system   cubic
Total magnetization   15.531 μB/f.u.
Calculated density   9.83 g/cm³

Below is NpGa3Rh2 after structural relaxation, with properties calculated at the GGA-PBE level.

a = 17.2480 Å, b = 4.2042 Å, c = 9.5312 Å
α = 90.00°, β = 114.70°, γ = 90.00°
Space group C2/m (No. 12)
Unique sites:
Np  0.0000  0.0000  0.0000
Np  0.1707  0.0000  0.6904
Ga  0.0000  0.5000  0.5000
Ga  0.0280  0.0000  0.3471
Ga  0.1260  0.5000  0.1818
Ga  0.1896  0.5000  0.9417
Ga  0.2083  0.0000  0.3770
Rh  0.0304  0.5000  0.8219
Rh  0.1336  0.5000  0.4527
Rh  0.1651  0.0000  0.0727

Crystal system   monoclinic
Total magnetization   3.563 μB/f.u.
Calculated density   10.35 g/cm³

Below is NpGa5Rh4 after structural relaxation, with properties calculated at the GGA-PBE level.

a = 3.0317 Å, b = 3.0317 Å, c = 16.6051 Å
α = 90.00°, β = 90.00°, γ = 90.00°
Space group P4/mmm (No. 123)
Unique sites:
Np  0.0000  0.0000  0.0000
Ga  0.5000  0.5000  0.1320
Ga  0.5000  0.5000  0.3150
Ga  0.5000  0.5000  0.5000
Rh  0.0000  0.0000  0.2246
Rh  0.0000  0.0000  0.4085

Crystal system   tetragonal
Total magnetization   3.940 μB/f.u.
Calculated density   10.85 g/cm³

Below is NpGa9Rh2 after structural relaxation, with properties calculated at the GGA-PBE level.

a = 10.4551 Å, b = 10.4551 Å, c = 7.4838 Å
α = 90.00°, β = 90.00°, γ = 90.00°
Space group I4_1/amd (No. 141, origin choice 2)
Unique sites:
Np  0.0000  0.2500  0.3750
Ga  0.0000  0.2500  0.8750
Ga  0.1204  0.0458  0.6804
Rh  0.0000  0.0000  0.0000

Crystal system   tetragonal
Total magnetization   4.545 μB/f.u.
Calculated density   8.69 g/cm³

Below is NpGa5Rh after structural relaxation, with properties calculated at the GGA-PBE level.

a = 4.2940 Å, b = 4.2940 Å, c = 6.7739 Å
α = 90.00°, β = 90.00°, γ = 90.00°
Space group P4/mmm (No. 123)
Unique sites:
Np  0.0000  0.0000  0.0000
Ga  0.0000  0.5000  0.2953
Ga  0.5000  0.5000  0.0000
Rh  0.0000  0.0000  0.5000

Crystal system   tetragonal
Total magnetization   0.038 μB/f.u.
Calculated density   9.15 g/cm³

Below is NpGa4Rh5 after structural relaxation, with properties calculated at the GGA-PBE level.

a = 3.0156 Å, b = 3.0156 Å, c = 16.4689 Å
α = 90.00°, β = 90.00°, γ = 90.00°
Space group P4/mmm (No. 123)
Unique sites:
Np  0.0000  0.0000  0.0000
Ga  0.0000  0.0000  0.2171
Ga  0.0000  0.0000  0.4063
Rh  0.5000  0.5000  0.1284
Rh  0.5000  0.5000  0.3153
Rh  0.5000  0.5000  0.5000

Crystal system   tetragonal
Total magnetization   3.365 μB/f.u.
Calculated density   11.43 g/cm³

Below is Np2GaRh6 after structural relaxation, with properties calculated at the GGA-PBE level.

a = 3.8186 Å, b = 6.9173 Å, c = 12.4064 Å
α = 90.00°, β = 90.00°, γ = 90.00°
Space group Immm (No. 71)
Unique sites:
Np  0.0000  0.0000  0.1539
Ga  0.0000  0.0000  0.5000
Rh  0.0000  0.2264  0.3334
Rh  0.0000  0.2616  0.0000

Crystal system   orthorhombic
Total magnetization   3.966 μB/f.u.
Calculated density   11.77 g/cm³

Below is NpGaRh6 after structural relaxation, with properties calculated at the GGA-PBE level.

a = 5.5474 Å, b = 5.5474 Å, c = 3.9601 Å
α = 90.00°, β = 90.00°, γ = 90.00°
Space group P4/mmm (No. 123)
Unique sites:
Np  0.0000  0.0000  0.0000
Ga  0.5000  0.5000  0.0000
Rh  0.0000  0.5000  0.0000
Rh  0.2516  0.2516  0.5000

Crystal system   tetragonal
Total magnetization   0.999 μB/f.u.
Calculated density   12.59 g/cm³

Below is NpGa4RuRh2 after structural relaxation, with properties calculated at the GGA-PBE level.

a = 4.2346 Å, b = 4.2346 Å, c = 25.8470 Å
α = 90.00°, β = 90.00°, γ = 120.00°
Space group R-3m (No. 166, hexagonal axes)
Unique sites:
Np  0.0000  0.0000  0.0000
Ga  0.0000  0.0000  0.1321
Ga  0.0000  0.0000  0.4003
Ru  0.0000  0.0000  0.5000
Rh  0.0000  0.0000  0.2372

Crystal system   trigonal
Total magnetization   4.124 μB/f.u.
Calculated density   10.21 g/cm³

Below is NpGaSn2Rh4 after structural relaxation, with properties calculated at the GGA-PBE level.

a = 4.4838 Å, b = 4.4838 Å, c = 24.3207 Å
α = 90.00°, β = 90.00°, γ = 120.00°
Space group R-3m (No. 166, hexagonal axes)
Unique sites:
Np  0.0000  0.0000  0.0000
Ga  0.0000  0.0000  0.5000
Sn  0.0000  0.0000  0.2466
Rh  0.0000  0.0000  0.1326
Rh  0.0000  0.0000  0.3959

Crystal system   trigonal
Total magnetization   3.499 μB/f.u.
Calculated density   11.24 g/cm³

Below is NpGaTcRh after structural relaxation, with properties calculated at the GGA-PBE level.

a = 6.4574 Å, b = 6.4574 Å, c = 6.4574 Å
α = 90.00°, β = 90.00°, γ = 90.00°
Space group F-43m (No. 216)
Unique sites:
Np  0.0000  0.0000  0.0000
Ga  0.0000  0.0000  0.5000
Tc  0.2500  0.2500  0.2500
Rh  0.2500  0.2500  0.7500

Crystal system   cubic
Total magnetization   2.574 μB/f.u.
Calculated density   12.52 g/cm³

Below is Np4Ga6Ru7 after structural relaxation, with properties calculated at the GGA-PBE level.

a = 8.3262 Å, b = 8.3262 Å, c = 8.3262 Å
α = 90.00°, β = 90.00°, γ = 90.00°
Space group Im-3m (No. 229)
Unique sites:
Np  0.2500  0.2500  0.2500
Ga  0.0000  0.0000  0.3048
Ru  0.0000  0.0000  0.0000
Ru  0.0000  0.2500  0.5000

Crystal system   cubic
Total magnetization   10.405 μB/f.u.
Calculated density   11.93 g/cm³

Below is NpGa5Ru6 after structural relaxation, with properties calculated at the GGA-PBE level.

a = 4.3747 Å, b = 12.9865 Å, c = 6.2113 Å
α = 90.00°, β = 90.00°, γ = 90.00°
Space group Cmmm (No. 65)
Unique sites:
Np  0.0000  0.0000  0.0000
Ga  0.0000  0.0000  0.5000
Ga  0.0000  0.3311  0.0000
Ga  0.0000  0.3331  0.5000
Ru  0.0000  0.1685  0.2527
Ru  0.0000  0.5000  0.2602

Crystal system   orthorhombic
Total magnetization   0.909 μB/f.u.
Calculated density   11.22 g/cm³

Below is NpGa4Ru after structural relaxation, with properties calculated at the GGA-PBE level.

a = 7.6694 Å, b = 4.1272 Å, c = 6.8068 Å
α = 90.00°, β = 90.00°, γ = 90.00°
Space group Pmma (No. 51)
Unique sites:
Np  0.2500  0.0000  0.1261
Ga  0.0000  0.0000  0.5000
Ga  0.0599  0.5000  0.8202
Ga  0.2500  0.5000  0.4480
Ru  0.2500  0.0000  0.7152

Crystal system   orthorhombic
Total magnetization   3.690 μB/f.u.
Calculated density   9.51 g/cm³

For each record above, in turn, the calculated ΔH_f (0 K) values are -0.359; -0.365; -0.428; -0.227; -0.216; -0.545; -0.296; -0.432; -0.564; -0.258; -0.330; -0.600; -0.251; -0.362; -0.390; -0.438; -0.282; -0.283; -0.340; -0.288 eV per atom.
For each record above, in turn, the calculated DOS at the Fermi energy values are 19.640; 11.214; 6.441; 18.064; 42.251; 6.693; 70.079; 60.494; 7.151; 46.985; 9.329; 6.409; 25.291; 10.192; 36.363; 35.747; 19.944; 63.153; 17.826; 17.145 states/eV per cell.